! CaCrSi2, relaxed, DFT GGA-PBE; values from VASP
&SYSTEM
  ibrav = 0, nat = 4, ntyp = 3
/
ATOMIC_SPECIES
Ca 40.08 Ca.upf
Cr 52.00 Cr.upf
Si 28.09 Si.upf
CELL_PARAMETERS angstrom
3.206 0.000 0.000
0.000 3.206 0.000
0.000 0.000 6.848
ATOMIC_POSITIONS crystal
Ca 0.000 0.000 0.000
Cr 0.500 0.500 0.341
Si 0.000 0.000 0.466
Si 0.500 0.500 0.686
! - ρ: 3.498 g cm⁻³
! - E_tot: -5.5182 eV per atom
! - Formation energy from raw total energies: 0.10 eV/atom


! CaCr2Si, relaxed, DFT GGA-PBE; values from VASP
&SYSTEM
  ibrav = 0, nat = 8, ntyp = 3
/
ATOMIC_SPECIES
Ca 40.08 Ca.upf
Cr 52.00 Cr.upf
Si 28.09 Si.upf
CELL_PARAMETERS angstrom
-2.154 2.154 8.734
2.154 -2.154 8.734
2.154 2.154 -8.734
ATOMIC_POSITIONS crystal
Ca 0.375 0.625 0.750
Ca 0.625 0.375 0.250
Cr 0.000 0.000 0.000
Cr 0.000 0.000 0.500
Cr 0.000 0.500 0.000
Cr 0.500 0.000 0.500
Si 0.125 0.875 0.250
Si 0.875 0.125 0.750
! - ρ: 3.528 g cm⁻³
! - E_tot: -6.1242 eV per atom
! - Formation energy from raw total energies: 0.54 eV/atom


! CaCrSi, relaxed, DFT GGA-PBE; values from VASP
&SYSTEM
  ibrav = 0, nat = 3, ntyp = 3
/
ATOMIC_SPECIES
Ca 40.08 Ca.upf
Cr 52.00 Cr.upf
Si 28.09 Si.upf
CELL_PARAMETERS angstrom
0.000 3.282 3.282
3.282 0.000 3.282
3.282 3.282 0.000
ATOMIC_POSITIONS crystal
Ca 0.000 0.000 0.000
Cr 0.500 0.500 0.500
Si 0.250 0.250 0.250
! - ρ: 2.822 g cm⁻³
! - E_tot: -5.4945 eV per atom
! - Formation energy from raw total energies: 0.19 eV/atom


! CaCrSi2, relaxed, DFT GGA-PBE; values from VASP
&SYSTEM
  ibrav = 0, nat = 4, ntyp = 3
/
ATOMIC_SPECIES
Ca 40.08 Ca.upf
Cr 52.00 Cr.upf
Si 28.09 Si.upf
CELL_PARAMETERS angstrom
-1.989 1.989 4.544
1.989 -1.989 4.544
1.989 1.989 -4.544
ATOMIC_POSITIONS crystal
Ca 0.000 0.000 0.000
Cr 0.250 0.750 0.500
Si 0.500 0.500 0.000
Si 0.750 0.250 0.500
! - ρ: 3.422 g cm⁻³
! - E_tot: -5.3476 eV per atom
! - Formation energy from raw total energies: 0.27 eV/atom


! CaCr2Si, relaxed, DFT GGA-PBE; values from VASP
&SYSTEM
  ibrav = 0, nat = 4, ntyp = 3
/
ATOMIC_SPECIES
Ca 40.08 Ca.upf
Cr 52.00 Cr.upf
Si 28.09 Si.upf
CELL_PARAMETERS angstrom
3.247 0.000 0.000
0.000 3.247 0.000
0.000 0.000 6.343
ATOMIC_POSITIONS crystal
Ca 0.000 0.000 0.000
Cr 0.500 0.500 0.342
Cr 0.500 0.500 0.658
Si 0.000 0.000 0.500
! - ρ: 4.275 g cm⁻³
! - E_tot: -6.4558 eV per atom
! - Formation energy from raw total energies: 0.21 eV/atom


! CaCr2Si, relaxed, DFT GGA-PBE; values from VASP
&SYSTEM
  ibrav = 0, nat = 4, ntyp = 3
/
ATOMIC_SPECIES
Ca 40.08 Ca.upf
Cr 52.00 Cr.upf
Si 28.09 Si.upf
CELL_PARAMETERS angstrom
4.254 0.000 0.000
0.000 4.254 0.000
0.000 0.000 4.044
ATOMIC_POSITIONS crystal
Ca 0.000 0.000 0.000
Cr 0.000 0.500 0.500
Cr 0.500 0.000 0.500
Si 0.500 0.500 0.000
! - ρ: 3.906 g cm⁻³
! - E_tot: -6.2066 eV per atom
! - Formation energy from raw total energies: 0.46 eV/atom


! CaCr2Si2, relaxed, DFT GGA-PBE; values from VASP
&SYSTEM
  ibrav = 0, nat = 10, ntyp = 3
/
ATOMIC_SPECIES
Ca 40.08 Ca.upf
Cr 52.00 Cr.upf
Si 28.09 Si.upf
CELL_PARAMETERS angstrom
7.466 0.000 0.000
0.000 7.466 0.000
0.000 0.000 2.666
ATOMIC_POSITIONS crystal
Ca 0.000 0.000 0.000
Ca 0.500 0.500 0.000
Cr 0.136 0.364 0.500
Cr 0.364 0.864 0.500
Cr 0.636 0.136 0.500
Cr 0.864 0.636 0.500
Si 0.150 0.650 0.000
Si 0.350 0.150 0.000
Si 0.650 0.850 0.000
Si 0.850 0.350 0.000
! - ρ: 4.475 g cm⁻³
! - E_tot: -6.4102 eV per atom
! - Formation energy from raw total energies: 0.01 eV/atom


! CaCr2Si, relaxed, DFT GGA-PBE; values from VASP
&SYSTEM
  ibrav = 0, nat = 4, ntyp = 3
/
ATOMIC_SPECIES
Ca 40.08 Ca.upf
Cr 52.00 Cr.upf
Si 28.09 Si.upf
CELL_PARAMETERS angstrom
2.120 1.224 5.405
-2.120 1.224 5.405
0.000 -2.448 5.405
ATOMIC_POSITIONS crystal
Ca 0.000 0.000 0.000
Cr 0.203 0.203 0.203
Cr 0.797 0.797 0.797
Si 0.500 0.500 0.500
! - ρ: 3.397 g cm⁻³
! - E_tot: -6.3061 eV per atom
! - Formation energy from raw total energies: 0.36 eV/atom


! Ca2CrSi, relaxed, DFT GGA-PBE; values from VASP
&SYSTEM
  ibrav = 0, nat = 4, ntyp = 3
/
ATOMIC_SPECIES
Ca 40.08 Ca.upf
Cr 52.00 Cr.upf
Si 28.09 Si.upf
CELL_PARAMETERS angstrom
3.696 0.000 0.000
0.000 3.696 0.000
0.000 0.000 7.208
ATOMIC_POSITIONS crystal
Ca 0.000 0.000 0.234
Ca 0.000 0.000 0.766
Cr 0.500 0.500 0.500
Si 0.500 0.500 0.000
! - ρ: 2.702 g cm⁻³
! - E_tot: -4.5560 eV per atom
! - Formation energy from raw total energies: 0.21 eV/atom


! CaCr2Si, relaxed, DFT GGA-PBE; values from VASP
&SYSTEM
  ibrav = 0, nat = 4, ntyp = 3
/
ATOMIC_SPECIES
Ca 40.08 Ca.upf
Cr 52.00 Cr.upf
Si 28.09 Si.upf
CELL_PARAMETERS angstrom
2.910 -4.515 0.000
2.910 4.515 0.000
-1.326 0.000 2.561
ATOMIC_POSITIONS crystal
Ca 0.000 0.000 0.000
Cr 0.000 0.500 0.500
Cr 0.500 0.000 0.500
Si 0.500 0.500 0.000
! - ρ: 4.247 g cm⁻³
! - E_tot: -6.0124 eV per atom
! - Formation energy from raw total energies: 0.66 eV/atom


! CaCrSi2, relaxed, DFT GGA-PBE; values from VASP
&SYSTEM
  ibrav = 0, nat = 4, ntyp = 3
/
ATOMIC_SPECIES
Ca 40.08 Ca.upf
Cr 52.00 Cr.upf
Si 28.09 Si.upf
CELL_PARAMETERS angstrom
0.000 3.333 3.333
3.333 0.000 3.333
3.333 3.333 0.000
ATOMIC_POSITIONS crystal
Ca 0.000 0.000 0.000
Cr 0.250 0.250 0.250
Si 0.500 0.500 0.500
Si 0.750 0.750 0.750
! - ρ: 3.324 g cm⁻³
! - E_tot: -5.2051 eV per atom
! - Formation energy from raw total energies: 0.41 eV/atom


! Ca2CrSi2, relaxed, DFT GGA-PBE; values from VASP
&SYSTEM
  ibrav = 0, nat = 10, ntyp = 3
/
ATOMIC_SPECIES
Ca 40.08 Ca.upf
Cr 52.00 Cr.upf
Si 28.09 Si.upf
CELL_PARAMETERS angstrom
6.826 0.000 0.000
0.000 6.826 0.000
0.000 0.000 4.604
ATOMIC_POSITIONS crystal
Ca 0.174 0.326 0.000
Ca 0.326 0.826 0.000
Ca 0.674 0.174 0.000
Ca 0.826 0.674 0.000
Cr 0.000 0.000 0.500
Cr 0.500 0.500 0.500
Si 0.128 0.628 0.500
Si 0.372 0.128 0.500
Si 0.628 0.872 0.500
Si 0.872 0.372 0.500
! - ρ: 2.915 g cm⁻³
! - E_tot: -5.1306 eV per atom
! - Formation energy from raw total energies: -0.24 eV/atom


! Ca2CrSi, relaxed, DFT GGA-PBE; values from VASP
&SYSTEM
  ibrav = 0, nat = 4, ntyp = 3
/
ATOMIC_SPECIES
Ca 40.08 Ca.upf
Cr 52.00 Cr.upf
Si 28.09 Si.upf
CELL_PARAMETERS angstrom
-1.903 2.515 5.108
1.903 -2.515 5.108
1.903 2.515 -5.108
ATOMIC_POSITIONS crystal
Ca 0.000 0.000 0.000
Ca 0.708 0.208 0.500
Cr 0.303 0.803 0.500
Si 0.452 0.452 0.000
! - ρ: 2.721 g cm⁻³
! - E_tot: -4.6729 eV per atom
! - Formation energy from raw total energies: 0.09 eV/atom


! Ca2CrSi, relaxed, DFT GGA-PBE; values from VASP
&SYSTEM
  ibrav = 0, nat = 4, ntyp = 3
/
ATOMIC_SPECIES
Ca 40.08 Ca.upf
Cr 52.00 Cr.upf
Si 28.09 Si.upf
CELL_PARAMETERS angstrom
0.000 3.641 3.641
3.641 0.000 3.641
3.641 3.641 0.000
ATOMIC_POSITIONS crystal
Ca 0.250 0.250 0.250
Ca 0.750 0.750 0.750
Cr 0.000 0.000 0.000
Si 0.500 0.500 0.500
! - ρ: 2.757 g cm⁻³
! - E_tot: -4.6191 eV per atom
! - Formation energy from raw total energies: 0.14 eV/atom


! CaCrSi2, relaxed, DFT GGA-PBE; values from VASP
&SYSTEM
  ibrav = 0, nat = 4, ntyp = 3
/
ATOMIC_SPECIES
Ca 40.08 Ca.upf
Cr 52.00 Cr.upf
Si 28.09 Si.upf
CELL_PARAMETERS angstrom
4.154 0.000 0.000
0.000 4.154 0.000
0.000 0.000 4.137
ATOMIC_POSITIONS crystal
Ca 0.000 0.000 0.000
Cr 0.500 0.500 0.000
Si 0.000 0.500 0.500
Si 0.500 0.000 0.500
! - ρ: 3.449 g cm⁻³
! - E_tot: -5.4832 eV per atom
! - Formation energy from raw total energies: 0.13 eV/atom


! Ca2CrSi, relaxed, DFT GGA-PBE; values from VASP
&SYSTEM
  ibrav = 0, nat = 4, ntyp = 3
/
ATOMIC_SPECIES
Ca 40.08 Ca.upf
Cr 52.00 Cr.upf
Si 28.09 Si.upf
CELL_PARAMETERS angstrom
1.815 1.048 9.555
-1.815 1.048 9.555
0.000 -2.096 9.555
ATOMIC_POSITIONS crystal
Ca 0.240 0.240 0.240
Ca 0.760 0.760 0.760
Cr 0.000 0.000 0.000
Si 0.500 0.500 0.500
! - ρ: 2.440 g cm⁻³
! - E_tot: -4.3245 eV per atom
! - Formation energy from raw total energies: 0.44 eV/atom


! CaCrSi2, relaxed, DFT GGA-PBE; values from VASP
&SYSTEM
  ibrav = 0, nat = 4, ntyp = 3
/
ATOMIC_SPECIES
Ca 40.08 Ca.upf
Cr 52.00 Cr.upf
Si 28.09 Si.upf
CELL_PARAMETERS angstrom
2.878 -4.100 0.000
2.878 4.100 0.000
-0.010 0.000 3.027
ATOMIC_POSITIONS crystal
Ca 0.000 0.000 0.000
Cr 0.500 0.500 0.000
Si 0.000 0.500 0.500
Si 0.500 0.000 0.500
! - ρ: 3.446 g cm⁻³
! - E_tot: -5.4275 eV per atom
! - Formation energy from raw total energies: 0.19 eV/atom


! CaCr2Si, relaxed, DFT GGA-PBE; values from VASP
&SYSTEM
  ibrav = 0, nat = 4, ntyp = 3
/
ATOMIC_SPECIES
Ca 40.08 Ca.upf
Cr 52.00 Cr.upf
Si 28.09 Si.upf
CELL_PARAMETERS angstrom
4.379 -1.522 0.000
4.379 1.522 0.000
-0.890 0.000 5.282
ATOMIC_POSITIONS crystal
Ca 0.000 0.000 0.000
Cr 0.230 0.230 0.633
Cr 0.770 0.770 0.367
Si 0.500 0.500 0.500
! - ρ: 4.060 g cm⁻³
! - E_tot: -6.3857 eV per atom
! - Formation energy from raw total energies: 0.28 eV/atom


! CaCrSi2, relaxed, DFT GGA-PBE; values from VASP
&SYSTEM
  ibrav = 0, nat = 4, ntyp = 3
/
ATOMIC_SPECIES
Ca 40.08 Ca.upf
Cr 52.00 Cr.upf
Si 28.09 Si.upf
CELL_PARAMETERS angstrom
-2.156 2.202 3.746
2.156 -2.202 3.746
2.156 2.202 -3.746
ATOMIC_POSITIONS crystal
Ca 0.000 0.000 0.000
Cr 0.500 0.500 0.000
Si 0.252 0.752 0.500
Si 0.748 0.248 0.500
! - ρ: 3.462 g cm⁻³
! - E_tot: -5.4842 eV per atom
! - Formation energy from raw total energies: 0.13 eV/atom


! CaCr2Si, relaxed, DFT GGA-PBE; values from VASP
&SYSTEM
  ibrav = 0, nat = 4, ntyp = 3
/
ATOMIC_SPECIES
Ca 40.08 Ca.upf
Cr 52.00 Cr.upf
Si 28.09 Si.upf
CELL_PARAMETERS angstrom
-1.279 2.477 5.005
1.279 -2.477 5.005
1.279 2.477 -5.005
ATOMIC_POSITIONS crystal
Ca 0.000 0.000 0.000
Cr 0.294 0.794 0.500
Cr 0.706 0.206 0.500
Si 0.500 0.500 0.000
! - ρ: 4.508 g cm⁻³
! - E_tot: -6.1153 eV per atom
! - Formation energy from raw total energies: 0.55 eV/atom